(1)
Here is crystalline DyYSc2 at its relaxed geometry from the Alexandria database. Energies are from PBE-GGA.

## Properties
The space-group type is R-3m. As for the total moment: 0.0 Bohr magnetons per cell.

a = 3.4277 Å, b = 3.4277 Å, c = 32.9693 Å
α = 90.00°, β = 90.00°, γ = 120.00°
Fractional coordinates of all 12 atoms:
Dy  0.0000  0.0000  0.0000
Dy  0.3333  0.6667  0.6667
Dy  0.6667  0.3333  0.3333
Y  0.0000  0.0000  0.5000
Y  0.3333  0.6667  0.1667
Y  0.6667  0.3333  0.8333
Sc  0.0000  0.0000  0.2504
Sc  0.0000  0.0000  0.7496
Sc  0.3333  0.6667  0.4162
Sc  0.3333  0.6667  0.9171
Sc  0.6667  0.3333  0.0829
Sc  0.6667  0.3333  0.5838



(2)
Here is crystalline DyYSc2 at its relaxed geometry from the Alexandria database. Energies are from PBE-GGA.

## Properties
The space-group type is Fm-3m. As for the total moment: 0.0 Bohr magnetons per cell.

a = 7.6612 Å, b = 7.6612 Å, c = 7.6612 Å
α = 90.00°, β = 90.00°, γ = 90.00°
Fractional coordinates of all 16 atoms:
Dy  0.0000  0.0000  0.0000
Dy  0.0000  0.5000  0.5000
Dy  0.5000  0.0000  0.5000
Dy  0.5000  0.5000  0.0000
Y  0.0000  0.0000  0.5000
Y  0.0000  0.5000  0.0000
Y  0.5000  0.0000  0.0000
Y  0.5000  0.5000  0.5000
Sc  0.2500  0.2500  0.2500
Sc  0.2500  0.2500  0.7500
Sc  0.2500  0.7500  0.2500
Sc  0.2500  0.7500  0.7500
Sc  0.7500  0.2500  0.2500
Sc  0.7500  0.2500  0.7500
Sc  0.7500  0.7500  0.2500
Sc  0.7500  0.7500  0.7500



(3)
Here is crystalline DyYSc2 at its relaxed geometry from the Alexandria database. Energies are from PBE-GGA.

## Properties
The space-group type is P4/mmm. As for the total moment: 0.0 Bohr magnetons per cell.

a = 3.4622 Å, b = 3.4622 Å, c = 9.3580 Å
α = 90.00°, β = 90.00°, γ = 90.00°
Fractional coordinates of all 4 atoms:
Dy  0.0000  0.0000  0.0000
Y  0.0000  0.0000  0.5000
Sc  0.5000  0.5000  0.2477
Sc  0.5000  0.5000  0.7523



(4)
Here is crystalline DyYSc2 at its relaxed geometry from the Alexandria database. Energies are from PBE-GGA.

## Properties
The space-group type is Pnma. As for the total moment: 0.0 Bohr magnetons per cell.

a = 6.0255 Å, b = 5.3926 Å, c = 13.9242 Å
α = 90.00°, β = 90.00°, γ = 90.00°
Fractional coordinates of all 16 atoms:
Dy  0.0908  0.2500  0.1851
Dy  0.4092  0.7500  0.6851
Dy  0.5908  0.2500  0.3149
Dy  0.9092  0.7500  0.8149
Y  0.0908  0.2500  0.4383
Y  0.4092  0.7500  0.9383
Y  0.5908  0.2500  0.0617
Y  0.9092  0.7500  0.5617
Sc  0.0775  0.2500  0.6910
Sc  0.0779  0.2500  0.9354
Sc  0.4221  0.7500  0.4354
Sc  0.4225  0.7500  0.1910
Sc  0.5775  0.2500  0.8090
Sc  0.5779  0.2500  0.5646
Sc  0.9221  0.7500  0.0646
Sc  0.9225  0.7500  0.3090



So which one wins? Going from most stable to least: (4), (3), (1), (2).



(1)
Here is crystalline Dy7Y2Sc2 at its relaxed geometry from the Alexandria database. Energies are from PBE-GGA.

## Properties
The space-group type is P-1. As for the total moment: 0.0 Bohr magnetons per cell.

a = 6.0530 Å, b = 7.8164 Å, c = 7.8175 Å
α = 107.43°, β = 97.25°, γ = 104.92°
Fractional coordinates of all 11 atoms:
Dy  0.0000  0.0000  0.0000
Dy  0.0901  0.3659  0.8187
Dy  0.1845  0.7242  0.6353
Dy  0.2726  0.0957  0.4548
Dy  0.7274  0.9043  0.5452
Dy  0.8155  0.2758  0.3647
Dy  0.9099  0.6341  0.1813
Y  0.4574  0.8130  0.0906
Y  0.5426  0.1870  0.9094
Sc  0.3627  0.4544  0.2767
Sc  0.6373  0.5456  0.7233



(2)
Here is crystalline Dy7Y2Sc2 at its relaxed geometry from the Alexandria database. Energies are from PBE-GGA.

## Properties
The space-group type is C2/m. As for the total moment: 0.0 Bohr magnetons per cell.

a = 6.4544 Å, b = 6.4544 Å, c = 8.3758 Å
α = 98.08°, β = 98.08°, γ = 92.02°
Fractional coordinates of all 11 atoms:
Dy  0.0000  0.0000  0.0000
Dy  0.0911  0.4613  0.8038
Dy  0.1599  0.1599  0.4123
Dy  0.4613  0.0911  0.8038
Dy  0.5387  0.9089  0.1962
Dy  0.8401  0.8401  0.5877
Dy  0.9089  0.5387  0.1962
Y  0.3200  0.6800  0.5000
Y  0.6800  0.3200  0.5000
Sc  0.3935  0.3935  0.1464
Sc  0.6065  0.6065  0.8536



So which one wins? Going from most stable to least: (1), (2).



(1)
Here is crystalline Dy2YSc7 at its relaxed geometry from the Alexandria database. Energies are from PBE-GGA.

## Properties
The space-group type is Cmmm. As for the total moment: 0.0 Bohr magnetons per cell.

a = 13.8897 Å, b = 13.8897 Å, c = 3.3302 Å
α = 90.00°, β = 90.00°, γ = 154.89°
Fractional coordinates of all 10 atoms:
Dy  0.2108  0.7892  0.0000
Dy  0.7892  0.2108  0.0000
Y  0.5000  0.5000  0.5000
Sc  0.0000  0.0000  0.0000
Sc  0.1542  0.3517  0.0000
Sc  0.3179  0.6821  0.5000
Sc  0.3517  0.1542  0.0000
Sc  0.6483  0.8458  0.0000
Sc  0.6821  0.3179  0.5000
Sc  0.8458  0.6483  0.0000



(2)
Here is crystalline Dy2YSc7 at its relaxed geometry from the Alexandria database. Energies are from PBE-GGA.

## Properties
The space-group type is P-1. As for the total moment: 0.0 Bohr magnetons per cell.

a = 5.7711 Å, b = 5.8036 Å, c = 8.8573 Å
α = 102.48°, β = 108.90°, γ = 99.74°
Fractional coordinates of all 10 atoms:
Dy  0.2067  0.1036  0.2072
Dy  0.7933  0.8964  0.7928
Y  0.0000  0.5000  0.0000
Sc  0.0000  0.0000  0.5000
Sc  0.1984  0.5942  0.6950
Sc  0.3985  0.1970  0.8966
Sc  0.4027  0.7016  0.4035
Sc  0.5973  0.2984  0.5965
Sc  0.6015  0.8030  0.1034
Sc  0.8016  0.4058  0.3050



So which one wins? Going from most stable to least: (2), (1).



(1)
Here is crystalline Dy7YSc3 at its relaxed geometry from the Alexandria database. Energies are from PBE-GGA.

## Properties
The space-group type is C2/m. As for the total moment: 0.0 Bohr magnetons per cell.

a = 9.5912 Å, b = 9.5912 Å, c = 10.9482 Å
α = 90.14°, β = 90.14°, γ = 138.80°
Fractional coordinates of all 22 atoms:
Dy  0.0862  0.4118  0.0365
Dy  0.0900  0.4156  0.4630
Dy  0.1645  0.3462  0.7496
Dy  0.2429  0.2429  0.2493
Dy  0.3462  0.1645  0.7496
Dy  0.4118  0.0862  0.0365
Dy  0.4156  0.0900  0.4630
Dy  0.5844  0.9100  0.5370
Dy  0.5882  0.9138  0.9635
Dy  0.6538  0.8355  0.2504
Dy  0.7571  0.7571  0.7507
Dy  0.8355  0.6538  0.2504
Dy  0.9100  0.5844  0.5370
Dy  0.9138  0.5882  0.9635
Y  0.0000  0.0000  0.5000
Y  0.5000  0.5000  0.0000
Sc  0.0000  0.0000  0.0000
Sc  0.2470  0.7502  0.2499
Sc  0.2498  0.7530  0.7501
Sc  0.5000  0.5000  0.5000
Sc  0.7502  0.2470  0.2499
Sc  0.7530  0.2498  0.7501



(2)
Here is crystalline Dy7YSc3 at its relaxed geometry from the Alexandria database. Energies are from PBE-GGA.

## Properties
The space-group type is P3m1. As for the total moment: 0.0 Bohr magnetons per cell.

a = 6.9442 Å, b = 6.9442 Å, c = 8.2446 Å
α = 90.00°, β = 90.00°, γ = 120.00°
Fractional coordinates of all 11 atoms:
Dy  0.0000  0.0000  0.0000
Dy  0.1653  0.3307  0.3425
Dy  0.1653  0.8347  0.3425
Dy  0.5010  0.0019  0.9860
Dy  0.5010  0.4990  0.9860
Dy  0.6693  0.8347  0.3425
Dy  0.9981  0.4990  0.9860
Y  0.6667  0.3333  0.3300
Sc  0.3326  0.1663  0.6651
Sc  0.8337  0.1663  0.6651
Sc  0.8337  0.6674  0.6651



So which one wins? Going from most stable to least: (1), (2).



(1)
Here is crystalline Dy2Y3Sc at its relaxed geometry from the Alexandria database. Energies are from PBE-GGA.

## Properties
The space-group type is C2/c. As for the total moment: 0.0 Bohr magnetons per cell.

a = 9.2845 Å, b = 9.2845 Å, c = 6.0844 Å
α = 90.00°, β = 90.00°, γ = 44.44°
Fractional coordinates of all 12 atoms:
Dy  0.0396  0.2911  0.0848
Dy  0.2911  0.0396  0.5848
Dy  0.7089  0.9604  0.4152
Dy  0.9604  0.7089  0.9152
Y  0.1281  0.8719  0.2500
Y  0.2127  0.4599  0.4203
Y  0.4599  0.2127  0.9203
Y  0.5401  0.7873  0.0797
Y  0.7873  0.5401  0.5797
Y  0.8719  0.1281  0.7500
Sc  0.3768  0.6232  0.7500
Sc  0.6232  0.3768  0.2500



(2)
Here is crystalline Dy2Y3Sc at its relaxed geometry from the Alexandria database. Energies are from PBE-GGA.

## Properties
The space-group type is C2/m. As for the total moment: 0.0 Bohr magnetons per cell.

a = 8.9237 Å, b = 8.9237 Å, c = 14.0226 Å
α = 116.80°, β = 116.80°, γ = 22.24°
Fractional coordinates of all 12 atoms:
Dy  0.1556  0.1556  0.4698
Dy  0.3199  0.3199  0.1205
Dy  0.6801  0.6801  0.8795
Dy  0.8444  0.8444  0.5302
Y  0.0995  0.0995  0.0262
Y  0.2418  0.2418  0.2940
Y  0.4634  0.4634  0.7810
Y  0.5366  0.5366  0.2190
Y  0.7582  0.7582  0.7060
Y  0.9005  0.9005  0.9738
Sc  0.0627  0.0627  0.6407
Sc  0.9373  0.9373  0.3593



So which one wins? Going from most stable to least: (1), (2).



(1)
Here is crystalline Dy7Y3Sc at its relaxed geometry from the Alexandria database. Energies are from PBE-GGA.

## Properties
The space-group type is C2/m. As for the total moment: 0.0 Bohr magnetons per cell.

a = 9.7235 Å, b = 9.7235 Å, c = 11.0862 Å
α = 90.05°, β = 90.05°, γ = 138.13°
Fractional coordinates of all 22 atoms:
Dy  0.0873  0.4074  0.0280
Dy  0.0922  0.4121  0.4727
Dy  0.1631  0.3344  0.7504
Dy  0.2519  0.2519  0.2503
Dy  0.3344  0.1631  0.7504
Dy  0.4074  0.0873  0.0280
Dy  0.4121  0.0922  0.4727
Dy  0.5879  0.9078  0.5273
Dy  0.5926  0.9127  0.9720
Dy  0.6656  0.8369  0.2496
Dy  0.7481  0.7481  0.7497
Dy  0.8369  0.6656  0.2496
Dy  0.9078  0.5879  0.5273
Dy  0.9127  0.5926  0.9720
Y  0.0000  0.0000  0.5000
Y  0.2501  0.7493  0.7496
Y  0.2507  0.7499  0.2504
Y  0.5000  0.5000  0.0000
Y  0.7493  0.2501  0.7496
Y  0.7499  0.2507  0.2504
Sc  0.0000  0.0000  0.0000
Sc  0.5000  0.5000  0.5000



(2)
Here is crystalline Dy7Y3Sc at its relaxed geometry from the Alexandria database. Energies are from PBE-GGA.

## Properties
The space-group type is P3m1. As for the total moment: 0.0 Bohr magnetons per cell.

a = 6.9855 Å, b = 6.9855 Å, c = 8.5517 Å
α = 90.00°, β = 90.00°, γ = 120.00°
Fractional coordinates of all 11 atoms:
Dy  0.0000  0.0000  0.0000
Dy  0.1653  0.3307  0.6733
Dy  0.1653  0.8347  0.6733
Dy  0.5018  0.0035  0.0012
Dy  0.5018  0.4982  0.0012
Dy  0.6693  0.8347  0.6733
Dy  0.9965  0.4982  0.0012
Y  0.3352  0.1676  0.3412
Y  0.8324  0.1676  0.3412
Y  0.8324  0.6648  0.3412
Sc  0.6667  0.3333  0.6774



So which one wins? Going from most stable to least: (1), (2).



(1)
Here is crystalline Dy5Y5Sc2 at its relaxed geometry from the Alexandria database. Energies are from PBE-GGA.

## Properties
The space-group type is C2/m. As for the total moment: 0.0 Bohr magnetons per cell.

a = 6.5277 Å, b = 6.5277 Å, c = 11.8278 Å
α = 106.32°, β = 106.32°, γ = 50.11°
Fractional coordinates of all 12 atoms:
Dy  0.0000  0.0000  0.0000
Dy  0.0355  0.0355  0.7155
Dy  0.2059  0.2059  0.5476
Dy  0.7941  0.7941  0.4524
Dy  0.9645  0.9645  0.2845
Y  0.2509  0.2509  0.2498
Y  0.3000  0.3000  0.9541
Y  0.5000  0.5000  0.5000
Y  0.7000  0.7000  0.0459
Y  0.7491  0.7491  0.7502
Sc  0.4632  0.4632  0.7877
Sc  0.5368  0.5368  0.2123



(2)
Here is crystalline Dy5Y5Sc2 at its relaxed geometry from the Alexandria database. Energies are from PBE-GGA.

## Properties
The space-group type is C2/m. As for the total moment: 0.0 Bohr magnetons per cell.

a = 7.8348 Å, b = 7.8348 Å, c = 11.1077 Å
α = 115.07°, β = 115.07°, γ = 36.92°
Fractional coordinates of all 12 atoms:
Dy  0.0000  0.0000  0.0000
Dy  0.0799  0.0799  0.7496
Dy  0.1677  0.1677  0.5001
Dy  0.8323  0.8323  0.4999
Dy  0.9201  0.9201  0.2504
Y  0.2467  0.2467  0.2492
Y  0.3361  0.3361  0.0007
Y  0.5000  0.5000  0.5000
Y  0.6639  0.6639  0.9993
Y  0.7533  0.7533  0.7508
Sc  0.4161  0.4161  0.7479
Sc  0.5839  0.5839  0.2521



So which one wins? Going from most stable to least: (2), (1).



(1)
Here is crystalline Dy2Y5Sc at its relaxed geometry from the Alexandria database. Energies are from PBE-GGA.

## Properties
The space-group type is Fmm2. As for the total moment: 0.0 Bohr magnetons per cell.

a = 8.3796 Å, b = 7.1986 Å, c = 6.6582 Å
α = 74.30°, β = 55.79°, γ = 49.90°
Fractional coordinates of all 8 atoms:
Dy  0.2449  0.7551  0.2449
Dy  0.7551  0.2449  0.7551
Y  0.1689  0.6638  0.8311
Y  0.2477  0.2477  0.2523
Y  0.6638  0.1689  0.3362
Y  0.6639  0.6639  0.3361
Y  0.7477  0.7477  0.7523
Sc  0.1648  0.1648  0.8352



(2)
Here is crystalline Dy2Y5Sc at its relaxed geometry from the Alexandria database. Energies are from PBE-GGA.

## Properties
The space-group type is Cmcm. As for the total moment: 0.0 Bohr magnetons per cell.

a = 6.5371 Å, b = 6.5371 Å, c = 15.6145 Å
α = 90.00°, β = 90.00°, γ = 130.49°
Fractional coordinates of all 16 atoms:
Dy  0.2209  0.7791  0.6354
Dy  0.2209  0.7791  0.8646
Dy  0.7791  0.2209  0.1354
Dy  0.7791  0.2209  0.3646
Y  0.0785  0.9215  0.0975
Y  0.0785  0.9215  0.4025
Y  0.3789  0.6211  0.0487
Y  0.3789  0.6211  0.4513
Y  0.4642  0.5358  0.7500
Y  0.5358  0.4642  0.2500
Y  0.6211  0.3789  0.5487
Y  0.6211  0.3789  0.9513
Y  0.9215  0.0785  0.5975
Y  0.9215  0.0785  0.9025
Sc  0.2684  0.7316  0.2500
Sc  0.7316  0.2684  0.7500



So which one wins? Going from most stable to least: (1), (2).